Record 1
TbPmIn: optimized geometry, PBE-GGA.

Unit cell a=7.419 b=7.419 c=7.419 alpha=90.00 beta=90.00 gamma=90.00
Space group F-43m (No. 216)
Inequivalent atoms, fractional coordinates:
1 Tb 0.000 0.000 0.000
2 Pm 0.000 0.000 0.500
3 In 0.250 0.250 0.750

Values from the calculation:
The calculation puts the total energy at -4.136 eV per atom.

=====

Record 2
TbPmIn2: optimized geometry, PBE-GGA.

Unit cell a=3.805 b=3.805 c=7.599 alpha=90.00 beta=90.00 gamma=90.00
Space group P4/mmm (No. 123)
Inequivalent atoms, fractional coordinates:
1 Tb 0.000 0.000 0.000
2 Pm 0.000 0.000 0.500
3 In 0.500 0.500 0.242

Values from the calculation:
The calculation puts the total energy at -4.200 eV per atom.

=====

Record 3
PmInTe: optimized geometry, PBE-GGA.

Unit cell a=7.437 b=7.437 c=7.437 alpha=90.00 beta=90.00 gamma=90.00
Space group F-43m (No. 216)
Inequivalent atoms, fractional coordinates:
1 Pm 0.000 0.000 0.000
2 In 0.250 0.250 0.750
3 Te 0.250 0.250 0.250

Values from the calculation:
The calculation puts the total energy at -3.920 eV per atom.

=====

Record 4
PmInTe: optimized geometry, PBE-GGA.

Unit cell a=7.403 b=7.403 c=7.403 alpha=90.00 beta=90.00 gamma=90.00
Space group F-43m (No. 216)
Inequivalent atoms, fractional coordinates:
1 Pm 0.000 0.000 0.000
2 In 0.000 0.000 0.500
3 Te 0.250 0.250 0.750

Values from the calculation:
The calculation puts the total energy at -4.003 eV per atom.

=====

Record 5
PmThIn: optimized geometry, PBE-GGA.

Unit cell a=7.546 b=7.546 c=7.546 alpha=90.00 beta=90.00 gamma=90.00
Space group F-43m (No. 216)
Inequivalent atoms, fractional coordinates:
1 Pm 0.000 0.000 0.000
2 Th 0.000 0.000 0.500
3 In 0.250 0.250 0.250

Values from the calculation:
The calculation puts the total energy at -4.895 eV per atom.

=====

Record 6
PmTmIn: optimized geometry, PBE-GGA.

Unit cell a=7.367 b=7.367 c=7.367 alpha=90.00 beta=90.00 gamma=90.00
Space group F-43m (No. 216)
Inequivalent atoms, fractional coordinates:
1 Pm 0.000 0.000 0.000
2 Tm 0.000 0.000 0.500
3 In 0.250 0.250 0.250

Values from the calculation:
The calculation puts the total energy at -4.074 eV per atom.

=====

Record 7
PmUIn: optimized geometry, PBE-GGA.

Unit cell a=7.345 b=7.345 c=7.345 alpha=90.00 beta=90.00 gamma=90.00
Space group F-43m (No. 216)
Inequivalent atoms, fractional coordinates:
1 Pm 0.000 0.000 0.000
2 U 0.000 0.000 0.500
3 In 0.250 0.250 0.250

Values from the calculation:
The calculation puts the total energy at -5.647 eV per atom.

=====

Record 8
PmZnIn: optimized geometry, PBE-GGA.

Unit cell a=7.069 b=7.069 c=7.069 alpha=90.00 beta=90.00 gamma=90.00
Space group F-43m (No. 216)
Inequivalent atoms, fractional coordinates:
1 Pm 0.000 0.000 0.000
2 Zn 0.250 0.250 0.250
3 In 0.250 0.250 0.750

Values from the calculation:
The calculation puts the total energy at -2.833 eV per atom.

=====

Record 9
PmZnIn: optimized geometry, PBE-GGA.

Unit cell a=4.7396 b=4.7396 c=3.7348 alpha=90.00 beta=90.00 gamma=120.00
Space group P-6m2 (No. 187)
Inequivalent atoms, fractional coordinates:
1 Pm 0.0000 0.0000 0.0000
2 Zn 0.6667 0.3333 0.5000
3 In 0.3333 0.6667 0.5000

Values from the calculation:
The calculation puts the total energy at -3.361 eV per atom.

=====

Record 10
PmZnIn: optimized geometry, PBE-GGA.

Unit cell a=6.898 b=6.898 c=6.898 alpha=90.00 beta=90.00 gamma=90.00
Space group F-43m (No. 216)
Inequivalent atoms, fractional coordinates:
1 Pm 0.000 0.000 0.000
2 Zn 0.000 0.000 0.500
3 In 0.250 0.250 0.250

Values from the calculation:
The calculation puts the total energy at -3.097 eV per atom.

=====

Record 11
PrIn2: optimized geometry, PBE-GGA.

Unit cell a=8.620 b=8.620 c=8.620 alpha=90.00 beta=90.00 gamma=90.00
Space group Fd-3m (No. 227, origin choice 2)
Inequivalent atoms, fractional coordinates:
1 Pr 0.125 0.125 0.125
2 In 0.000 0.000 0.500

Values from the calculation:
The calculation puts the total energy at -3.866 eV per atom.

=====

Record 12
PrIn2: optimized geometry, PBE-GGA.

Unit cell a=7.343 b=7.343 c=7.343 alpha=90.00 beta=90.00 gamma=90.00
Space group Fm-3m (No. 225)
Inequivalent atoms, fractional coordinates:
1 Pr 0.000 0.000 0.000
2 In 0.250 0.250 0.250

Values from the calculation:
The calculation puts the total energy at -3.477 eV per atom.

=====

Record 13
Pr3In2: optimized geometry, PBE-GGA.

Unit cell a=5.5724 b=5.5724 c=16.6836 alpha=90.00 beta=90.00 gamma=120.00
Space group R-3m (No. 166, hexagonal axes)
Inequivalent atoms, fractional coordinates:
1 Pr 0.0000 0.0000 0.0000
2 Pr 0.0000 0.0000 0.4021
3 In 0.0000 0.0000 0.2062

Values from the calculation:
The calculation puts the total energy at -4.093 eV per atom.

=====

Record 14
Pr2In2Pt: optimized geometry, PBE-GGA.

Unit cell a=3.934 b=11.351 c=12.210 alpha=90.00 beta=90.00 gamma=90.00
Space group Cmcm (No. 63)
Inequivalent atoms, fractional coordinates:
1 Pr 0.000 0.100 0.117
2 In 0.000 0.179 0.630
3 Pt 0.000 0.452 0.250

Values from the calculation:
The calculation puts the total energy at -4.551 eV per atom.

=====

Record 15
Pr3InPt8: optimized geometry, PBE-GGA.

Unit cell a=5.5128 b=5.5128 c=26.9083 alpha=90.00 beta=90.00 gamma=120.00
Space group R3m (No. 160, hexagonal axes)
Inequivalent atoms, fractional coordinates:
1 Pr 0.0000 0.0000 0.0000
2 Pr 0.0000 0.0000 0.1284
3 Pr 0.0000 0.0000 0.5124
4 In 0.0000 0.0000 0.6378
5 Pt 0.0000 0.0000 0.3167
6 Pt 0.0000 0.0000 0.8170
7 Pt 0.0011 0.5006 0.0677
8 Pt 0.1678 0.3357 0.9000

Values from the calculation:
The calculation puts the total energy at -6.378 eV per atom.

=====

Record 16
Pr2SmIn3Pt3: optimized geometry, PBE-GGA.

Unit cell a=4.086 b=13.341 c=7.706 alpha=90.00 beta=90.00 gamma=90.00
Space group Amm2 (No. 38)
Inequivalent atoms, fractional coordinates:
1 Pr 0.000 0.205 0.000
2 Sm 0.000 0.000 0.615
3 In 0.500 0.000 0.952
4 In 0.500 0.125 0.332
5 Pt 0.000 0.000 0.207
6 Pt 0.500 0.165 0.704

Values from the calculation:
The calculation puts the total energy at -5.470 eV per atom.

=====

Record 17
PrSmIn2Pt4: optimized geometry, PBE-GGA.

Unit cell a=4.6353 b=4.6353 c=9.2721 alpha=90.00 beta=90.00 gamma=120.00
Space group P-6m2 (No. 187)
Inequivalent atoms, fractional coordinates:
1 Pr 0.0000 0.0000 0.0000
2 Sm 0.3333 0.6667 0.5000
3 In 0.6667 0.3333 0.2525
4 Pt 0.0000 0.0000 0.3426
5 Pt 0.3333 0.6667 0.1649

Values from the calculation:
The calculation puts the total energy at -5.814 eV per atom.

=====

Record 18
PrIn2SnPt4: optimized geometry, PBE-GGA.

Unit cell a=4.319 b=5.581 c=7.386 alpha=90.00 beta=90.35 gamma=90.00
Space group Pm (No. 6)
Inequivalent atoms, fractional coordinates:
1 Pr 0.000 0.000 0.000
2 In 0.004 0.500 0.335
3 In 0.499 0.000 0.510
4 Sn 0.502 0.500 0.830
5 Pt 0.001 0.253 0.659
6 Pt 0.502 0.256 0.184

Values from the calculation:
The calculation puts the total energy at -5.479 eV per atom.

=====

Record 19
Pr2TlInPt4: optimized geometry, PBE-GGA.

Unit cell a=4.6848 b=4.6848 c=9.2799 alpha=90.00 beta=90.00 gamma=120.00
Space group P-3m1 (No. 164)
Inequivalent atoms, fractional coordinates:
1 Pr 0.3333 0.6667 0.2497
2 Tl 0.0000 0.0000 0.0000
3 In 0.0000 0.0000 0.5000
4 Pt 0.3333 0.6667 0.5876
5 Pt 0.3333 0.6667 0.9038

Values from the calculation:
The calculation puts the total energy at -5.655 eV per atom.

=====

Record 20
PrTmIn2Pt4: optimized geometry, PBE-GGA.

Unit cell a=4.6091 b=4.6091 c=9.1755 alpha=90.00 beta=90.00 gamma=120.00
Space group P-6m2 (No. 187)
Inequivalent atoms, fractional coordinates:
1 Pr 0.0000 0.0000 0.0000
2 Tm 0.3333 0.6667 0.5000
3 In 0.6667 0.3333 0.2552
4 Pt 0.0000 0.0000 0.3473
5 Pt 0.3333 0.6667 0.1694

Values from the calculation:
The calculation puts the total energy at -5.801 eV per atom.